The following is a DFT calculation (PBE) of an optimized crystal structure of Rb2In3Ga4Pb.

Cell lengths 4.9252, 4.9252, 11.9481 Å; angles 90.00, 90.00, 90.00 degrees
With the nearest neighbours (Å) after each atom.
Sites, in units of the cell vectors:
Rb 0.0000 0.5000 0.2443  8 Ga 3.75-3.82, 6 In 3.76-3.92, 2 Pb 3.92
Rb 0.5000 0.0000 0.7557  8 Ga 3.75-3.82, 6 In 3.76-3.92, 2 Pb 3.92
In 0.0000 0.5000 0.8742  5 Ga 2.81-2.89
In 0.5000 0.0000 0.1258  5 Ga 2.81-2.89
In 0.5000 0.5000 0.5000  4 Ga 2.97
Ga 0.0000 0.0000 0.0000  4 In 2.89
Ga 0.0000 0.5000 0.6390  3 In 2.81-2.97, 2 Pb 2.97
Ga 0.5000 0.0000 0.3610  3 In 2.81-2.97, 2 Pb 2.97
Ga 0.5000 0.5000 0.0000  4 In 2.89
Pb 0.0000 0.0000 0.5000  4 Ga 2.97

Summary:
space group: P-4m2
calculated formation energy: -0.093 eV/atom
M_tot: 0.00 Bohr magnetons per cell

The following is a DFT calculation (PBE) of an optimized crystal structure of Dy2Pu3Ru4.

Cell lengths 4.5645, 4.5645, 10.2072 Å; angles 90.00, 90.00, 120.00 degrees
With the nearest neighbours (Å) after each atom.
Sites, in units of the cell vectors:
Dy 0.3333 0.6667 0.2165  7 Ru 2.99-3.02
Dy 0.6667 0.3333 0.7835  7 Ru 2.99-3.02
Pu 0.0000 0.0000 0.0000  6 Ru 2.76
Pu 0.3333 0.6667 0.5740  3 Ru 2.72, 3 Pu 3.04
Pu 0.6667 0.3333 0.4260  3 Ru 2.72, 3 Pu 3.04
Ru 0.0000 0.0000 0.3607  3 Pu 2.72, 1 Ru 2.84, 3 Dy 3.02
Ru 0.0000 0.0000 0.6393  3 Pu 2.72, 1 Ru 2.84, 3 Dy 3.02
Ru 0.3333 0.6667 0.9210  3 Pu 2.76, 4 Dy 2.99-3.02
Ru 0.6667 0.3333 0.0790  3 Pu 2.76, 4 Dy 2.99-3.02

Summary:
space group: P-3m1
calculated formation energy: -0.197 eV/atom
M_tot: 6.45 Bohr magnetons per cell

The following is a DFT calculation (PBE) of an optimized crystal structure of Na3Sb.

Cell lengths 6.6237, 6.6237, 6.6237 Å; angles 147.47, 61.24, 129.64 degrees
With the nearest neighbours (Å) after each atom.
Sites, in units of the cell vectors:
Na 0.0000 0.0000 0.0000  4 Sb 3.32-3.43, 8 Na 3.58-3.71
Na 0.3330 0.5594 0.7736  2 Sb 3.20, 5 Na 3.42-3.58
Na 0.7858 0.5594 0.2264  2 Sb 3.20, 5 Na 3.42-3.58
Sb 0.4890 0.9890 0.5000  8 Na 3.20-3.43

Summary:
energy relative to the elements, uncorrected: -0.22 eV/atom
space group: Imm2
M_tot: 0.00 Bohr magnetons per cell

The following is a DFT calculation (PBE) of an optimized crystal structure of CeY2Te.

Cell lengths 10.2580, 10.2580, 10.2580 Å; angles 21.52, 21.52, 21.52 degrees
With the nearest neighbours (Å) after each atom.
Sites, in units of the cell vectors:
Ce 0.0000 0.0000 0.0000  6 Y 3.61, 6 Ce 3.83
Y 0.2382 0.2382 0.2382  3 Te 3.08
Y 0.7618 0.7618 0.7618  3 Te 3.08
Te 0.5000 0.5000 0.5000  6 Y 3.08

Summary:
energy relative to the elements, uncorrected: -0.48 eV/atom
space group: R-3m
energy above the most stable polymorph in this dataset: 0.053 eV/atom
M_tot: 1.32 Bohr magnetons per cell

The following is a DFT calculation (PBE) of an optimized crystal structure of Nd5Si2Hg2.

Cell lengths 9.0779, 9.0779, 7.8360 Å; angles 90.00, 90.00, 50.93 degrees
With the nearest neighbours (Å) after each atom.
Sites, in units of the cell vectors:
Nd 0.0000 0.0000 0.0000  4 Si 3.15-3.16, 4 Nd 3.51
Nd 0.0583 0.6874 0.6791  3 Si 3.08-3.16, 3 Hg 3.20-3.27
Nd 0.1874 0.5583 0.1791  3 Si 3.08-3.16, 3 Hg 3.20-3.27
Nd 0.3126 0.9417 0.6791  3 Si 3.08-3.16, 3 Hg 3.20-3.27
Nd 0.4417 0.8126 0.1791  3 Si 3.08-3.16, 3 Hg 3.20-3.27
Nd 0.5000 0.5000 0.5000  4 Si 3.15-3.16, 4 Nd 3.51
Nd 0.5583 0.1874 0.8209  3 Si 3.08-3.16, 3 Hg 3.20-3.27
Nd 0.6874 0.0583 0.3209  3 Si 3.08-3.16, 3 Hg 3.20-3.27
Nd 0.8126 0.4417 0.8209  3 Si 3.08-3.16, 3 Hg 3.20-3.27
Nd 0.9417 0.3126 0.3209  3 Si 3.08-3.16, 3 Hg 3.20-3.27
Si 0.1121 0.8879 0.3856  1 Si 2.51
Si 0.3879 0.6121 0.8856  1 Si 2.51
Si 0.6121 0.3879 0.1144  1 Si 2.51
Si 0.8879 0.1121 0.6144  1 Si 2.51
Hg 0.2185 0.2185 0.0000  7 Nd 3.20-3.58
Hg 0.2815 0.2815 0.5000  7 Nd 3.20-3.58
Hg 0.7185 0.7185 0.5000  7 Nd 3.20-3.58
Hg 0.7815 0.7815 0.0000  7 Nd 3.20-3.58

Summary:
energy relative to the elements, uncorrected: -0.56 eV/atom
space group: Cmce
M_tot: 0.00 Bohr magnetons per cell

The following is a DFT calculation (PBE) of an optimized crystal structure of CePrHgSb.

Cell lengths 5.4559, 5.4559, 5.4559 Å; angles 60.00, 60.00, 60.00 degrees
With the nearest neighbours (Å) after each atom.
Sites, in units of the cell vectors:
Ce 0.0000 0.0000 0.0000  4 Hg 3.34, 4 Sb 3.34
Pr 0.5000 0.5000 0.5000  4 Hg 3.34, 4 Sb 3.34
Hg 0.7500 0.7500 0.7500  4 Ce 3.34, 4 Pr 3.34
Sb 0.2500 0.2500 0.2500  4 Ce 3.34, 4 Pr 3.34

Summary:
energy relative to the elements, uncorrected: -0.62 eV/atom
space group: F-43m
M_tot: 1.74 Bohr magnetons per cell

| no. | uncorrected energy (eV per atom) |
| --- | --- |
| 1 | -2.69 |
| 2 | -10.12 |
| 3 | -2.24 |
| 4 | -5.98 |
| 5 | -4.48 |
| 6 | -4.41 |